Record 1
{"formula": "TaWF3", "functional": "PBE+U", "state": "relaxed", "spacegroup": "Pm-3m", "magmom_total_mub_per_cell": 7.72, "de_polymorph_mev_per_atom": 0, "lattice": [[4.326, 0.000, 0.000], [0.000, 4.326, 0.000], [0.000, 0.000, 4.326]], "species": ["Ta", "W", "F", "F", "F"], "frac_coords": [[0.000, 0.000, 0.000], [0.500, 0.500, 0.500], [0.000, 0.000, 0.500], [0.000, 0.500, 0.000], [0.500, 0.000, 0.000]]}

Record 2
{"formula": "YTaWF2", "functional": "PBE+U", "state": "relaxed", "energy_ev_per_atom": -6.14, "spacegroup": "P4/mmm", "magmom_total_mub_per_cell": 2.22, "lattice": [[4.170, 0.000, 0.000], [0.000, 4.170, 0.000], [0.000, 0.000, 6.390]], "species": ["Y", "Ta", "W", "F", "F"], "frac_coords": [[0.000, 0.000, 0.000], [0.000, 0.000, 0.500], [0.500, 0.500, 0.000], [0.000, 0.500, 0.500], [0.500, 0.000, 0.500]]}